No. 1
First-principles (GGA-PBE) data for ThCdInN after structural relaxation, as listed in Alexandria.

The structure belongs to space group P4/nmm (No. 129, origin choice 2); the cell edges are 4.1580, 4.1580 and 11.1390 Å and the angles 90.00°, 90.00° and 90.00°. The distinct sites, in fractional coordinates, are Th at (0.2500, 0.2500, 0.0997), Cd at (0.2500, 0.7500, 0.5000), In at (0.2500, 0.2500, 0.7064) and N at (0.2500, 0.7500, 0.0000).

The total energy is -5.65 eV/atom. Its density of states at the Fermi level is 5.0 states/eV/cell. The value obtained for the formation energy from raw total energies is -0.80 eV per atom. For the magnetic moment, the calculation gives 0.000 μB per atom.

=====

No. 2
First-principles (GGA-PBE) data for ErMgTl2 after structural relaxation, as listed in Alexandria.

The structure belongs to space group Fm-3m (No. 225); the cell edges are 7.4238, 7.4238 and 7.4238 Å and the angles 90.00°, 90.00° and 90.00°. The distinct sites, in fractional coordinates, are Er at (0.0000, 0.0000, 0.0000), Mg at (0.0000, 0.0000, 0.5000) and Tl at (0.2500, 0.2500, 0.2500).

For the formation energy, the calculation gives -183 meV per atom. The total energy is -2.91 eV/atom. Its density of states at the Fermi level is 12.2 states/eV/cell. For the magnetic moment, the calculation gives 0.000 μB per atom.

=====

No. 3
First-principles (GGA-PBE) data for RbCoCl3 after structural relaxation, as listed in Alexandria.

The structure belongs to space group P2_1/m (No. 11); the cell edges are 9.1615, 3.8208 and 14.7634 Å and the angles 90.00°, 90.02° and 90.00°. The distinct sites, in fractional coordinates, are Rb at (0.0519, 0.2500, 0.1721), Rb at (0.4481, 0.7500, 0.6724), Co at (0.1514, 0.7500, 0.4512), Co at (0.3489, 0.2500, 0.9515), Cl at (0.0194, 0.7500, 0.5928), Cl at (0.1955, 0.7500, 0.0039), Cl at (0.2439, 0.2500, 0.8069), Cl at (0.2563, 0.7500, 0.3065), Cl at (0.3048, 0.2500, 0.5041) and Cl at (0.4807, 0.2500, 0.0921).

The total energy is -3.90 eV/atom. Its density of states at the Fermi level is 12.0 states/eV/cell. The value obtained for the formation energy from raw total energies is -1.18 eV per atom. For the magnetic moment, the calculation gives 0.600 μB per atom.

=====

No. 4
First-principles (GGA-PBE) data for BaHgS2Cl after structural relaxation, as listed in Alexandria.

The structure belongs to space group P4/mmm (No. 123); the cell edges are 5.0229, 5.0229 and 5.5744 Å and the angles 90.00°, 90.00° and 90.00°. The distinct sites, in fractional coordinates, are Ba at (0.0000, 0.0000, 0.0000), Hg at (0.5000, 0.5000, 0.5000), S at (0.0000, 0.5000, 0.5000) and Cl at (0.5000, 0.5000, 0.0000).

The total energy is -3.32 eV/atom. Its density of states at the Fermi level is 3.1 states/eV/cell. The value obtained for the formation energy from raw total energies is -0.85 eV per atom. The distance to the lowest polymorph of the same formula comes out at 0.000 eV per atom. For the magnetic moment, the calculation gives 0.000 μB per atom.

=====

No. 5
First-principles (GGA-PBE) data for Er6MgZn after structural relaxation, as listed in Alexandria.

The structure belongs to space group P-1 (No. 2); the cell edges are 6.0463, 6.0548 and 6.0788 Å and the angles 89.93°, 88.68° and 89.89°. The distinct sites, in fractional coordinates, are Er at (0.0182, 0.0210, 0.2471), Er at (0.2465, 0.5127, 0.5343), Er at (0.4776, 0.2530, 0.9841), Mg at (0.5000, 0.0000, 0.5000) and Zn at (0.0000, 0.5000, 0.0000).

For the formation energy, the calculation gives 60 meV per atom. The total energy is -3.72 eV/atom. Its density of states at the Fermi level is 9.8 states/eV/cell. For the magnetic moment, the calculation gives 0.000 μB per atom.

=====

No. 6
First-principles (GGA-PBE) data for CaCd2Si after structural relaxation, as listed in Alexandria.

The structure belongs to space group I-42d (No. 122); the cell edges are 4.3685, 4.3685 and 20.9726 Å and the angles 90.00°, 90.00° and 90.00°. The distinct sites, in fractional coordinates, are Ca at (0.0000, 0.0000, 0.0000), Cd at (0.2198, 0.2500, 0.6250) and Si at (0.0000, 0.0000, 0.5000).

The total energy is -2.26 eV/atom. Its density of states at the Fermi level is 9.3 states/eV/cell. The value obtained for the formation energy from raw total energies is 0.05 eV per atom. For the magnetic moment, the calculation gives 0.000 μB per atom.

=====

No. 7
First-principles (GGA-PBE) data for DyZrIn after structural relaxation, as listed in Alexandria.

The structure belongs to space group I4/mmm (No. 139); the cell edges are 3.3704, 3.3704 and 27.9425 Å and the angles 90.00°, 90.00° and 90.00°. The distinct sites, in fractional coordinates, are Dy at (0.0000, 0.0000, 0.0627), Zr at (0.0000, 0.0000, 0.2129) and In at (0.0000, 0.0000, 0.3619).

For the formation energy, the calculation gives -136 meV per atom. The total energy is -5.43 eV/atom. Its density of states at the Fermi level is 10.5 states/eV/cell. The distance to the lowest polymorph of the same formula comes out at 0.083 eV per atom. For the magnetic moment, the calculation gives 0.002 μB per atom.

=====

No. 8
First-principles (GGA-PBE) data for Zn2Ag2Au after structural relaxation, as listed in Alexandria.

The structure belongs to space group I4/mmm (No. 139); the cell edges are 3.7651, 3.7651 and 12.9565 Å and the angles 90.00°, 90.00° and 90.00°. The distinct sites, in fractional coordinates, are Zn at (0.0000, 0.0000, 0.0949), Ag at (0.0000, 0.5000, 0.2500) and Au at (0.0000, 0.0000, 0.5000).

For the formation energy, the calculation gives 92 meV per atom. The total energy is -2.21 eV/atom. Its density of states at the Fermi level is 2.1 states/eV/cell. The distance to the lowest polymorph of the same formula comes out at 0.184 eV per atom. For the magnetic moment, the calculation gives 0.000 μB per atom.

=====

No. 9
First-principles (GGA-PBE) data for Ca2PmGa2 after structural relaxation, as listed in Alexandria.

The structure belongs to space group P2_1/m (No. 11); the cell edges are 5.9227, 4.1918 and 12.4650 Å and the angles 90.00°, 98.33° and 90.00°. The distinct sites, in fractional coordinates, are Ca at (0.0844, 0.2500, 0.3747), Ca at (0.2287, 0.7500, 0.9475), Pm at (0.4672, 0.2500, 0.7077), Ga at (0.2940, 0.2500, 0.1435) and Ga at (0.3760, 0.7500, 0.5210).

For the formation energy, the calculation gives -324 meV per atom. The total energy is -3.29 eV/atom. Its density of states at the Fermi level is 6.4 states/eV/cell. The distance to the lowest polymorph of the same formula comes out at 0.032 eV per atom. For the magnetic moment, the calculation gives 0.000 μB per atom.

=====

No. 10
First-principles (GGA-PBE) data for LaTcSe4 after structural relaxation, as listed in Alexandria.

The structure belongs to space group F-43m (No. 216); the cell edges are 8.1714, 8.1714 and 8.1714 Å and the angles 90.00°, 90.00° and 90.00°. The distinct sites, in fractional coordinates, are La at (0.0000, 0.0000, 0.0000), Tc at (0.2500, 0.2500, 0.2500) and Se at (0.1244, 0.1244, 0.6244).

The total energy is -4.53 eV/atom. Its density of states at the Fermi level is 32.6 states/eV/cell. The value obtained for the formation energy from raw total energies is 0.34 eV per atom. For the magnetic moment, the calculation gives 0.588 μB per atom.

=====

No. 11
First-principles (GGA-PBE) data for Dy12Ho5Tl2 after structural relaxation, as listed in Alexandria.

The structure belongs to space group C2/m (No. 12); the cell edges are 15.3343, 9.2898 and 8.2952 Å and the angles 90.00°, 91.80° and 90.00°. The distinct sites, in fractional coordinates, are Dy at (0.0529, 0.0000, 0.3208), Dy at (0.0865, 0.5000, 0.8856), Dy at (0.1246, 0.1962, 0.6553), Dy at (0.1512, 0.3149, 0.2371), Ho at (0.0000, 0.5000, 0.5000), Ho at (0.1872, 0.0000, 0.0029), Ho at (0.2348, 0.5000, 0.5833) and Tl at (0.0000, 0.1875, 0.0000).

For the formation energy, the calculation gives 24 meV per atom. The total energy is -4.34 eV/atom. Its density of states at the Fermi level is 56.0 states/eV/cell. For the magnetic moment, the calculation gives 0.000 μB per atom.

=====

No. 12
First-principles (GGA-PBE) data for Ce2PuTh3As6 after structural relaxation, as listed in Alexandria.

The structure belongs to space group C2/m (No. 12); the cell edges are 18.4467, 4.2338 and 8.4513 Å and the angles 90.00°, 103.23° and 90.00°. The distinct sites, in fractional coordinates, are Ce at (0.1661, 0.0000, 0.3325), Pu at (0.0000, 0.5000, 0.0000), Th at (0.0000, 0.5000, 0.5000), Th at (0.1664, 0.0000, 0.8345), As at (0.0004, 0.0000, 0.2464), As at (0.1657, 0.5000, 0.0849) and As at (0.1673, 0.5000, 0.5825).

For the formation energy, the calculation gives -1368 meV per atom. The total energy is -7.73 eV/atom. Its density of states at the Fermi level is 44.3 states/eV/cell. For the magnetic moment, the calculation gives 0.573 μB per atom.

=====

No. 13
First-principles (GGA-PBE) data for SbRuPb after structural relaxation, as listed in Alexandria.

The structure belongs to space group Cm (No. 8); the cell edges are 14.4792, 3.3474 and 6.7094 Å and the angles 90.00°, 116.51° and 90.00°. The distinct sites, in fractional coordinates, are Sb at (0.0000, 0.0000, 0.0000), Sb at (0.2343, 0.5000, 0.7866), Ru at (0.1017, 0.5000, 0.3615), Ru at (0.3705, 0.0000, 0.0651), Pb at (0.2475, 0.0000, 0.3065) and Pb at (0.4789, 0.5000, 0.4925).

The total energy is -5.62 eV/atom. Its density of states at the Fermi level is 6.8 states/eV/cell. The value obtained for the formation energy from raw total energies is 0.08 eV per atom. The distance to the lowest polymorph of the same formula comes out at 0.060 eV per atom. For the magnetic moment, the calculation gives 0.000 μB per atom.

=====

No. 14
First-principles (GGA-PBE) data for LaRuPt2 after structural relaxation, as listed in Alexandria.

The structure belongs to space group I4/mmm (No. 139); the cell edges are 4.1949, 4.1949 and 8.4850 Å and the angles 90.00°, 90.00° and 90.00°. The distinct sites, in fractional coordinates, are La at (0.0000, 0.0000, 0.0000), Ru at (0.0000, 0.0000, 0.5000) and Pt at (0.0000, 0.5000, 0.2500).

For the formation energy, the calculation gives -300 meV per atom. The total energy is -6.87 eV/atom. Its density of states at the Fermi level is 9.7 states/eV/cell. For the magnetic moment, the calculation gives 0.002 μB per atom.

=====

No. 15
First-principles (GGA-PBE) data for TaCoGe after structural relaxation, as listed in Alexandria.

The structure belongs to space group P-6m2 (No. 187); the cell edges are 4.1177, 4.1177 and 2.8997 Å and the angles 90.00°, 90.00° and 120.00°. The distinct sites, in fractional coordinates, are Ta at (0.0000, 0.0000, 0.0000), Co at (0.3333, 0.6667, 0.5000) and Ge at (0.6667, 0.3333, 0.5000).

For the formation energy, the calculation gives -319 meV per atom. The total energy is -8.18 eV/atom. Its density of states at the Fermi level is 1.0 states/eV/cell. For the magnetic moment, the calculation gives 0.053 μB per atom.

=====

No. 16
First-principles (GGA-PBE) data for LiPaCu2Te4 after structural relaxation, as listed in Alexandria.

The structure belongs to space group I222 (No. 23); the cell edges are 6.9819, 7.2451 and 7.7220 Å and the angles 90.00°, 90.00° and 90.00°. The distinct sites, in fractional coordinates, are Li at (0.0000, 0.0000, 0.0000), Pa at (0.0000, 0.0000, 0.5000), Cu at (0.0000, 0.5000, 0.1624) and Te at (0.2292, 0.2167, 0.8190).

The total energy is -4.42 eV/atom. Its density of states at the Fermi level is 6.4 states/eV/cell. The value obtained for the formation energy from raw total energies is -0.40 eV per atom. For the magnetic moment, the calculation gives 0.033 μB per atom.

=====

No. 17
First-principles (GGA-PBE) data for Pm2Zn3Cu12Pt after structural relaxation, as listed in Alexandria.

The structure belongs to space group R-3m (No. 166, hexagonal axes); the cell edges are 6.1381, 6.1381 and 27.4110 Å and the angles 90.00°, 90.00° and 120.00°. The distinct sites, in fractional coordinates, are Pm at (0.0000, 0.0000, 0.1482), Zn at (0.0000, 0.5000, 0.0000), Cu at (0.0403, 0.5202, 0.0948), Cu at (0.0742, 0.5371, 0.6182) and Pt at (0.0000, 0.0000, 0.5000).

For the formation energy, the calculation gives 66 meV per atom. The total energy is -3.74 eV/atom. Its density of states at the Fermi level is 21.0 states/eV/cell. For the magnetic moment, the calculation gives 0.000 μB per atom.

=====

No. 18
First-principles (GGA-PBE) data for Mg2HO after structural relaxation, as listed in Alexandria.

The structure belongs to space group R-3m (No. 166, hexagonal axes); the cell edges are 3.1379, 3.1379 and 14.9994 Å and the angles 90.00°, 90.00° and 120.00°. The distinct sites, in fractional coordinates, are Mg at (0.0000, 0.0000, 0.2491), H at (0.0000, 0.0000, 0.0000) and O at (0.0000, 0.0000, 0.5000).

The total energy is -3.99 eV/atom. Its density of states at the Fermi level is 2.6 states/eV/cell. The distance to the lowest polymorph of the same formula comes out at 0.000 eV per atom. For the magnetic moment, the calculation gives 0.000 μB per atom.

=====

No. 19
First-principles (GGA-PBE) data for Cr2OsRu after structural relaxation, as listed in Alexandria.

The structure belongs to space group Imm2 (No. 44); the cell edges are 2.8771, 4.2579 and 8.4809 Å and the angles 90.00°, 90.00° and 90.00°. The distinct sites, in fractional coordinates, are Cr at (0.0000, 0.0000, 0.0000), Cr at (0.0000, 0.5000, 0.2908), Os at (0.0000, 0.5000, 0.7554) and Ru at (0.0000, 0.0000, 0.5337).

For the formation energy, the calculation gives 138 meV per atom. The total energy is -9.80 eV/atom. Its density of states at the Fermi level is 8.0 states/eV/cell. The distance to the lowest polymorph of the same formula comes out at 0.043 eV per atom. For the magnetic moment, the calculation gives 0.000 μB per atom.

=====

No. 20
First-principles (GGA-PBE) data for EuNb2O6 after structural relaxation, as listed in Alexandria.

The structure belongs to space group P2_1/c (No. 14); the cell edges are 7.7120, 5.5336 and 11.3077 Å and the angles 90.00°, 90.01° and 90.00°. The distinct sites, in fractional coordinates, are Eu at (0.2500, 0.0438, 0.0417), Nb at (0.0048, 0.0325, 0.3573), Nb at (0.4936, 0.0328, 0.3574), O at (0.0386, 0.7274, 0.9747), O at (0.0552, 0.6294, 0.7108), O at (0.2501, 0.0451, 0.6457), O at (0.2499, 0.1486, 0.3756), O at (0.4446, 0.6297, 0.7108) and O at (0.4615, 0.7275, 0.9747).

The total energy is -9.46 eV/atom. Its density of states at the Fermi level is 62.0 states/eV/cell. The value obtained for the formation energy from raw total energies is -2.78 eV per atom. For the magnetic moment, the calculation gives 0.762 μB per atom.